Record 1
# Pr2Sn4RhAu3

A relaxed Pr2Sn4RhAu3 crystal (GGA-PBE, Alexandria via LeMat-Bulk).

Results
- Crystal system: tetragonal
- Final energy: -4.849 eV/atom

a = 4.5878 Å, b = 4.5878 Å, c = 11.4392 Å
α = 90.00°, β = 90.00°, γ = 90.00°
Closest atoms and distances in Å follow each position.
Fractional coordinates of all 10 atoms:
Rh  0.5000  0.5000  0.5000  4 Sn 2.69
Au  0.0000  0.5000  0.1443  5 Sn 2.65-2.83
Au  0.0000  0.0000  0.5000  4 Sn 2.69
Au  0.5000  0.0000  0.8557  5 Sn 2.65-2.83
Sn  0.0000  0.5000  0.3764  3 Au 2.65-2.69, 2 Rh 2.69
Sn  0.5000  0.0000  0.6236  3 Au 2.65-2.69, 2 Rh 2.69
Sn  0.5000  0.5000  0.0000  4 Au 2.83
Sn  0.0000  0.0000  0.0000  4 Au 2.83
Pr  0.5000  0.0000  0.2714  8 Sn 3.46-3.86, 2 Rh 3.48, 6 Au 3.48-3.55
Pr  0.0000  0.5000  0.7286  8 Sn 3.46-3.86, 6 Au 3.48-3.55, 2 Rh 3.48



Record 2
# KSrTa

A relaxed KSrTa crystal (GGA-PBE, Alexandria via LeMat-Bulk).

Results
- Crystal system: triclinic
- Energy relative to the lowest polymorph listed for this composition: 427 meV/atom

a = 9.3586 Å, b = 8.0133 Å, c = 3.4570 Å
α = 78.28°, β = 85.17°, γ = 105.63°
Closest atoms and distances in Å follow each position.
Fractional coordinates of all 6 atoms:
K  0.2232  0.5722  0.4328  2 K 3.46
K  0.7768  0.4278  0.5672  2 K 3.46
Ta  0.9832  0.1180  0.1555  1 Ta 2.43
Ta  0.0168  0.8820  0.8445  1 Ta 2.43
Sr  0.3335  0.1224  0.2456  3 Ta 3.31-3.62, 2 Sr 3.46
Sr  0.6665  0.8776  0.7544  3 Ta 3.31-3.62, 2 Sr 3.46



Record 3
# Sr8Pd2Rh

A relaxed Sr8Pd2Rh crystal (GGA-PBE, Alexandria via LeMat-Bulk).

Results
- Crystal system: monoclinic
- Final energy: -3.111 eV/atom

a = 7.8490 Å, b = 8.1698 Å, c = 8.1887 Å
α = 89.89°, β = 118.64°, γ = 90.00°
Closest atoms and distances in Å follow each position.
Fractional coordinates of all 11 atoms:
Sr  0.2799  0.7424  0.0765  1 Rh 2.89, 2 Pd 3.16
Sr  0.1963  0.1150  0.3927  1 Rh 2.98, 1 Pd 3.09
Sr  0.7107  0.3973  0.4214  1 Pd 3.01
Sr  0.8037  0.8850  0.6073  1 Rh 2.98, 1 Pd 3.09
Sr  0.2034  0.2576  0.9235  1 Rh 2.89, 2 Pd 3.16
Sr  0.7201  0.2576  0.9235  1 Rh 2.89, 2 Pd 3.16
Sr  0.2893  0.6027  0.5786  1 Pd 3.01
Sr  0.7966  0.7424  0.0765  1 Rh 2.89, 2 Pd 3.16
Rh  0.0000  0.0000  0.0000  6 Sr 2.89-2.98
Pd  0.0986  0.4516  0.1971  1 Pd 2.94, 6 Sr 3.01-3.16
Pd  0.9014  0.5484  0.8029  1 Pd 2.94, 6 Sr 3.01-3.16



Record 4
# CeTiAu2

A relaxed CeTiAu2 crystal (GGA-PBE, Alexandria via LeMat-Bulk).

Results
- Crystal system: tetragonal
- Energy relative to the lowest polymorph listed for this composition: 0 meV/atom

a = 3.3257 Å, b = 3.3257 Å, c = 7.4790 Å
α = 90.00°, β = 90.00°, γ = 90.00°
Closest atoms and distances in Å follow each position.
Fractional coordinates of all 4 atoms:
Au  0.0000  0.0000  0.2046  4 Ti 2.81, 1 Au 3.06
Au  0.0000  0.0000  0.7954  4 Ti 2.81, 1 Au 3.06
Ce  0.5000  0.5000  0.5000  8 Au 3.23, 4 Ce 3.33
Ti  0.5000  0.5000  0.0000  8 Au 2.81



Record 5
# KMnIn4

A relaxed KMnIn4 crystal (GGA-PBE, Alexandria via LeMat-Bulk).

Results
- Crystal system: cubic
- Final energy: -3.248 eV/atom

a = 6.1803 Å, b = 6.1803 Å, c = 6.1803 Å
α = 60.00°, β = 60.00°, γ = 60.00°
Closest atoms and distances in Å follow each position.
Fractional coordinates of all 6 atoms:
Mn  0.0000  0.0000  0.0000  12 In 3.62, 4 K 3.78
In  0.8760  0.3747  0.3747  6 In 3.08-3.10
In  0.3747  0.3747  0.8760  6 In 3.08-3.10
In  0.3747  0.8760  0.3747  6 In 3.08-3.10
In  0.3747  0.3747  0.3747  6 In 3.08-3.10
K  0.7500  0.7500  0.7500  12 In 3.62, 4 Mn 3.78



Record 6
# CsTlF3

A relaxed CsTlF3 crystal (GGA-PBE, Alexandria via LeMat-Bulk).

Results
- Crystal system: monoclinic
- Formation energy (no corrections): -202 kJ per mole of atoms

a = 19.6549 Å, b = 8.2654 Å, c = 8.2654 Å
α = 152.28°, β = 152.37°, γ = 27.63°
Closest atoms and distances in Å follow each position.
Fractional coordinates of all 10 atoms:
F  0.5437  0.2662  0.7338  3 Tl 2.48-2.51, 1 F 2.75
F  0.8914  0.8007  0.1993  1 Tl 2.27
F  0.2470  0.6834  0.3166  2 Tl 2.43
F  0.1086  0.1993  0.8007  1 Tl 2.27
F  0.4563  0.7338  0.2662  3 Tl 2.48-2.51, 1 F 2.75
F  0.7530  0.3166  0.6834  2 Tl 2.43
Tl  0.3547  0.9934  0.0066  6 F 2.27-2.51
Tl  0.6453  0.0066  0.9934  6 F 2.27-2.51
Cs  0.1332  0.9886  0.0114  5 F 2.85-3.11
Cs  0.8668  0.0114  0.9886  5 F 2.85-3.11



Record-wise size of the total moment values, in μB/f.u.: 0.0, 0.0, 0.0, 1.8, 4.2, 0.0